[1]
# PBE NdYCuHg, relaxed
# **E_tot**: -67.4 eV for the cell shown
data_NdYCuHg
_cell_length_a 7.3607
_cell_length_b 7.3607
_cell_length_c 7.3607
_cell_angle_alpha 90.00
_cell_angle_beta 90.00
_cell_angle_gamma 90.00
_space_group_name_H-M_alt 'F -4 3 m'
_space_group_IT_number 216
_space_group_name_Hall 'F -4 2 3'
loop_
_atom_site_label
_atom_site_type_symbol
_atom_site_fract_x
_atom_site_fract_y
_atom_site_fract_z
Nd1 Nd 0.0000 0.0000 0.0000
Y1 Y 0.0000 0.0000 0.5000
Cu1 Cu 0.2500 0.2500 0.7500
Hg1 Hg 0.2500 0.2500 0.2500

***

[2]
# PBE NdYCuHg, relaxed
# **E_tot**: -16.9 eV for the cell shown
data_NdYCuHg
_cell_length_a 3.6091
_cell_length_b 3.6091
_cell_length_c 7.5610
_cell_angle_alpha 90.00
_cell_angle_beta 90.00
_cell_angle_gamma 90.00
_space_group_name_H-M_alt 'P 4 m m'
_space_group_IT_number 99
_space_group_name_Hall 'P 4 -2'
loop_
_atom_site_label
_atom_site_type_symbol
_atom_site_fract_x
_atom_site_fract_y
_atom_site_fract_z
Nd1 Nd 0.0000 0.0000 0.0000
Y1 Y 0.0000 0.0000 0.4579
Cu1 Cu 0.5000 0.5000 0.2475
Hg1 Hg 0.5000 0.5000 0.7166

***

Number 1: DOS at the Fermi energy 9.719 states/eV per cell. Number 2: DOS at the Fermi energy 4.485 states/eV per cell.